Entry 1:
{"formula": "Li5Cd2AgHg2", "functional": "GGA-PBE", "state": "optimized geometry", "cell": [[10.493, 0.000, 0.000], [0.000, 10.493, 0.000], [0.000, 0.000, 3.533]], "species": ["Li", "Li", "Li", "Li", "Li", "Li", "Li", "Li", "Li", "Li", "Cd", "Cd", "Cd", "Cd", "Ag", "Ag", "Hg", "Hg", "Hg", "Hg"], "fractional_positions": [[0.000, 0.500, 0.000], [0.062, 0.187, 0.000], [0.187, 0.938, 0.000], [0.313, 0.438, 0.000], [0.438, 0.687, 0.000], [0.500, 0.000, 0.000], [0.562, 0.313, 0.000], [0.687, 0.562, 0.000], [0.813, 0.062, 0.000], [0.938, 0.813, 0.000], [0.166, 0.666, 0.500], [0.334, 0.166, 0.500], [0.666, 0.834, 0.500], [0.834, 0.334, 0.500], [0.000, 0.000, 0.500], [0.500, 0.500, 0.500], [0.135, 0.365, 0.500], [0.365, 0.865, 0.500], [0.635, 0.135, 0.500], [0.865, 0.635, 0.500]], "e_form_ev_per_atom": -0.19, "dos_at_fermi_per_ev_cell": 8.1}

=====

Entry 2:
{"formula": "MnCr2Tc", "functional": "GGA-PBE", "state": "optimized geometry", "cell": [[2.543, 0.000, 0.000], [0.000, 4.079, 0.000], [-0.879, 0.000, 4.790]], "species": ["Mn", "Cr", "Cr", "Tc"], "fractional_positions": [[0.000, 0.000, 0.000], [0.234, 0.500, 0.766], [0.458, 0.000, 0.523], [0.703, 0.500, 0.266]], "relative_energy_mev_per_atom": 31, "e_form_ev_per_atom": 0.08, "dos_at_fermi_per_ev_cell": 4.5}

=====

Entry 3:
{"formula": "Tl2SbSe5", "functional": "GGA-PBE", "state": "optimized geometry", "cell": [[5.699, -3.766, 0.000], [5.699, 3.766, 0.000], [-5.437, 0.000, 5.750]], "species": ["Tl", "Tl", "Sb", "Se", "Se", "Se", "Se", "Se"], "fractional_positions": [[0.000, 0.000, 0.000], [0.033, 0.033, 0.534], [0.565, 0.565, 0.873], [0.008, 0.504, 0.489], [0.010, 0.493, 0.008], [0.493, 0.010, 0.008], [0.504, 0.008, 0.489], [0.590, 0.590, 0.281]], "raw_formation_energy_ev_per_atom": -0.1365, "dos_at_fermi_per_ev_cell": 6.1}

=====

Entry 4:
{"formula": "CePuBr6", "functional": "GGA-PBE", "state": "optimized geometry", "cell": [[3.614, -6.529, 0.000], [3.614, 6.529, 0.000], [-2.024, 0.000, 6.933]], "species": ["Ce", "Pu", "Br", "Br", "Br", "Br", "Br", "Br"], "fractional_positions": [[0.000, 0.000, 0.000], [0.500, 0.500, 0.500], [0.101, 0.398, 0.251], [0.250, 0.250, 0.751], [0.398, 0.101, 0.251], [0.602, 0.899, 0.749], [0.750, 0.750, 0.249], [0.899, 0.602, 0.749]], "relative_energy_mev_per_atom": 0, "raw_formation_energy_ev_per_atom": -1.6497, "dos_at_fermi_per_ev_cell": 16.5}